A relaxed structure of Na2Sm2Au, computed with PBE-GGA.

Computed properties:
Raw total energy in eV/atom: -3.17

a = 5.200 Å, b = 5.200 Å, c = 6.652 Å
α = 114.75°, β = 114.75°, γ = 60.02°
Element x y z (fractional)
1 Na 0.175 0.175 0.027
2 Na 0.825 0.825 0.973
3 Sm 0.388 0.388 0.664
4 Sm 0.612 0.612 0.336
5 Au 0.000 0.000 0.500

A relaxed structure of Hf2CdSb, computed with PBE-GGA.

Computed properties:
Raw total energy in eV/atom: -5.89

a = 5.042 Å, b = 5.042 Å, c = 5.042 Å
α = 60.00°, β = 60.00°, γ = 60.00°
Element x y z (fractional)
1 Hf 0.000 0.000 0.000
2 Hf 0.250 0.250 0.250
3 Cd 0.750 0.750 0.750
4 Sb 0.500 0.500 0.500

A relaxed structure of GaCoSi, computed with PBE-GGA.

Computed properties:
Raw total energy in eV/atom: -5.45

a = 3.904 Å, b = 3.904 Å, c = 3.904 Å
α = 60.00°, β = 60.00°, γ = 60.00°
Element x y z (fractional)
1 Ga 0.000 0.000 0.000
2 Co 0.250 0.250 0.250
3 Si 0.500 0.500 0.500

A relaxed structure of BaErU, computed with PBE-GGA.

Computed properties:
Raw total energy in eV/atom: -4.42

a = 5.655 Å, b = 5.655 Å, c = 5.655 Å
α = 60.00°, β = 60.00°, γ = 60.00°
Element x y z (fractional)
1 Ba 0.000 0.000 0.000
2 Er 0.500 0.500 0.500
3 U 0.250 0.250 0.250

A relaxed structure of AgTeAu, computed with PBE-GGA.

Computed properties:
Raw total energy in eV/atom: -3.00

a = 7.220 Å, b = 4.311 Å, c = 8.872 Å
α = 90.00°, β = 90.00°, γ = 90.00°
Element x y z (fractional)
1 Ag 0.044 0.250 0.174
2 Ag 0.456 0.750 0.674
3 Ag 0.544 0.250 0.326
4 Ag 0.956 0.750 0.826
5 Te 0.192 0.250 0.576
6 Te 0.308 0.750 0.076
7 Te 0.692 0.250 0.924
8 Te 0.808 0.750 0.424
9 Au 0.231 0.250 0.878
10 Au 0.269 0.750 0.378
11 Au 0.731 0.250 0.622
12 Au 0.769 0.750 0.122

A relaxed structure of NaCoW, computed with PBE-GGA.

Computed properties:
Offset from the most stable computed form in eV per atom: 0.000

a = 4.128 Å, b = 4.128 Å, c = 4.128 Å
α = 60.00°, β = 60.00°, γ = 60.00°
Element x y z (fractional)
1 Na 0.000 0.000 0.000
2 Co 0.250 0.250 0.250
3 W 0.500 0.500 0.500

A relaxed structure of Cd2AsPt, computed with PBE-GGA.

Computed properties:
Raw total energy in eV/atom: -3.05

a = 4.751 Å, b = 4.751 Å, c = 4.751 Å
α = 60.00°, β = 60.00°, γ = 60.00°
Element x y z (fractional)
1 Cd 0.000 0.000 0.000
2 Cd 0.250 0.250 0.250
3 As 0.500 0.500 0.500
4 Pt 0.750 0.750 0.750

A relaxed structure of PuSi2Tc, computed with PBE-GGA.

Computed properties:
Raw total energy in eV/atom: -9.38

a = 7.164 Å, b = 3.907 Å, c = 10.063 Å
α = 90.00°, β = 90.00°, γ = 90.00°
Element x y z (fractional)
1 Pu 0.148 0.250 0.131
2 Pu 0.352 0.750 0.631
3 Pu 0.648 0.250 0.369
4 Pu 0.852 0.750 0.869
5 Si 0.151 0.250 0.815
6 Si 0.222 0.250 0.428
7 Si 0.278 0.750 0.928
8 Si 0.349 0.750 0.315
9 Si 0.651 0.250 0.685
10 Si 0.722 0.250 0.072
11 Si 0.778 0.750 0.572
12 Si 0.849 0.750 0.185
13 Tc 0.012 0.750 0.396
14 Tc 0.488 0.250 0.896
15 Tc 0.512 0.750 0.104
16 Tc 0.988 0.250 0.604

A relaxed structure of SmCu2SbAs, computed with PBE-GGA.

Computed properties:
Raw total energy in eV/atom: -4.67

a = 4.442 Å, b = 4.442 Å, c = 9.973 Å
α = 90.00°, β = 90.00°, γ = 90.00°
Element x y z (fractional)
1 Sm 0.250 0.250 0.233
2 Sm 0.750 0.750 0.767
3 Cu 0.250 0.250 0.893
4 Cu 0.250 0.750 0.500
5 Cu 0.750 0.250 0.500
6 Cu 0.750 0.750 0.107
7 Sb 0.250 0.250 0.641
8 Sb 0.750 0.750 0.359
9 As 0.250 0.750 0.000
10 As 0.750 0.250 0.000

A relaxed structure of Cd2BiSbO6, computed with PBE-GGA.

Computed properties:
Raw total energy in eV/atom: -5.12

a = 7.392 Å, b = 7.392 Å, c = 5.580 Å
α = 90.00°, β = 90.00°, γ = 107.08°
Element x y z (fractional)
1 Cd 0.095 0.299 0.000
2 Cd 0.299 0.095 0.500
3 Cd 0.701 0.905 0.000
4 Cd 0.905 0.701 0.500
5 Bi 0.404 0.596 0.510
6 Bi 0.596 0.404 0.010
7 Sb 0.181 0.819 0.970
8 Sb 0.819 0.181 0.470
9 O 0.036 0.964 0.823
10 O 0.074 0.578 0.825
11 O 0.195 0.805 0.311
12 O 0.341 0.351 0.249
13 O 0.351 0.341 0.749
14 O 0.422 0.926 0.825
15 O 0.578 0.074 0.325
16 O 0.649 0.659 0.249
17 O 0.659 0.649 0.749
18 O 0.805 0.195 0.811
19 O 0.926 0.422 0.325
20 O 0.964 0.036 0.323

A relaxed structure of GdInPt, computed with PBE-GGA.

Computed properties:
Raw total energy in eV/atom: -5.47

a = 7.524 Å, b = 7.524 Å, c = 4.056 Å
α = 90.00°, β = 90.00°, γ = 120.00°
Element x y z (fractional)
1 Gd 0.000 0.591 0.000
2 Gd 0.409 0.409 0.000
3 Gd 0.591 0.000 0.000
4 In 0.000 0.255 0.500
5 In 0.255 0.000 0.500
6 In 0.745 0.745 0.500
7 Pt 0.000 0.000 0.000
8 Pt 0.333 0.667 0.500
9 Pt 0.667 0.333 0.500

A relaxed structure of SiTcNO, computed with PBE-GGA.

Computed properties:
Offset from the most stable computed form in eV per atom: 1.024

a = 3.633 Å, b = 3.633 Å, c = 6.793 Å
α = 90.00°, β = 90.00°, γ = 90.00°
Element x y z (fractional)
1 Si 0.250 0.750 0.000
2 Si 0.750 0.250 0.000
3 Tc 0.250 0.250 0.327
4 Tc 0.750 0.750 0.673
5 N 0.250 0.250 0.021
6 N 0.750 0.750 0.979
7 O 0.250 0.750 0.500
8 O 0.750 0.250 0.500

A relaxed structure of TaNbIr, computed with PBE-GGA.

Computed properties:
Offset from the most stable computed form in eV per atom: 0.000
Energy of formation in eV/atom: 0.024

a = 4.388 Å, b = 4.388 Å, c = 4.388 Å
α = 60.00°, β = 60.00°, γ = 60.00°
Element x y z (fractional)
1 Ta 0.000 0.000 0.000
2 Nb 0.500 0.500 0.500
3 Ir 0.750 0.750 0.750

A relaxed structure of Ba2YZn, computed with PBE-GGA.

Computed properties:
Raw total energy in eV/atom: -2.62

a = 5.858 Å, b = 5.858 Å, c = 5.858 Å
α = 60.00°, β = 60.00°, γ = 60.00°
Element x y z (fractional)
1 Ba 0.000 0.000 0.000
2 Ba 0.250 0.250 0.250
3 Y 0.500 0.500 0.500
4 Zn 0.750 0.750 0.750

A relaxed structure of Gd2Y3Cd3, computed with PBE-GGA.

Computed properties:
Offset from the most stable computed form in eV per atom: 0.000
Energy of formation in eV/atom: -0.172

a = 6.730 Å, b = 5.427 Å, c = 6.753 Å
α = 90.00°, β = 117.46°, γ = 90.00°
Element x y z (fractional)
1 Gd 0.000 0.000 0.000
2 Gd 0.299 0.500 0.689
3 Y 0.486 0.000 0.014
4 Y 0.501 0.000 0.506
5 Y 0.819 0.500 0.204
6 Cd 0.319 0.500 0.189
7 Cd 0.812 0.500 0.687
8 Cd 0.994 0.000 0.507

A relaxed structure of KTcAgSeS2, computed with PBE-GGA.

Computed properties:
Offset from the most stable computed form in eV per atom: 0.000

a = 8.149 Å, b = 3.694 Å, c = 9.822 Å
α = 90.00°, β = 110.84°, γ = 90.00°
Element x y z (fractional)
1 K 0.232 0.250 0.254
2 K 0.768 0.750 0.746
3 Tc 0.329 0.750 0.857
4 Tc 0.671 0.250 0.143
5 Ag 0.061 0.250 0.614
6 Ag 0.939 0.750 0.386
7 Se 0.288 0.750 0.580
8 Se 0.712 0.250 0.420
9 S 0.135 0.250 0.880
10 S 0.460 0.750 0.122
11 S 0.540 0.250 0.878
12 S 0.865 0.750 0.120

A relaxed structure of ZrCo2Ni, computed with PBE-GGA.

Computed properties:
Energy of formation in eV/atom: -0.064

a = 4.238 Å, b = 4.238 Å, c = 4.238 Å
α = 60.00°, β = 60.00°, γ = 60.00°
Element x y z (fractional)
1 Zr 0.000 0.000 0.000
2 Co 0.250 0.250 0.250
3 Co 0.500 0.500 0.500
4 Ni 0.750 0.750 0.750

A relaxed structure of InGa2Ir, computed with PBE-GGA.

Computed properties:
Raw total energy in eV/atom: -4.30

a = 4.647 Å, b = 4.647 Å, c = 4.647 Å
α = 60.00°, β = 60.00°, γ = 60.00°
Element x y z (fractional)
1 In 0.000 0.000 0.000
2 Ga 0.500 0.500 0.500
3 Ga 0.750 0.750 0.750
4 Ir 0.250 0.250 0.250

A relaxed structure of Sc2Pd2O5, computed with PBE-GGA.

Computed properties:
Offset from the most stable computed form in eV per atom: 0.000

a = 3.718 Å, b = 3.718 Å, c = 8.186 Å
α = 90.00°, β = 90.00°, γ = 90.00°
Element x y z (fractional)
1 Sc 0.000 0.000 0.245
2 Sc 0.000 0.000 0.755
3 Pd 0.500 0.500 0.000
4 Pd 0.500 0.500 0.500
5 O 0.000 0.000 0.000
6 O 0.000 0.500 0.346
7 O 0.000 0.500 0.654
8 O 0.500 0.000 0.346
9 O 0.500 0.000 0.654

A relaxed structure of BaLuAl, computed with PBE-GGA.

Computed properties:
Raw total energy in eV/atom: -3.00

a = 5.240 Å, b = 5.240 Å, c = 5.240 Å
α = 60.00°, β = 60.00°, γ = 60.00°
Element x y z (fractional)
1 Ba 0.000 0.000 0.000
2 Lu 0.750 0.750 0.750
3 Al 0.500 0.500 0.500

A relaxed structure of HoTmGe2Au2, computed with PBE-GGA.

Computed properties:
Raw total energy in eV/atom: -4.95

a = 4.459 Å, b = 4.459 Å, c = 7.249 Å
α = 90.00°, β = 90.00°, γ = 120.00°
Element x y z (fractional)
1 Ho 0.000 0.000 0.000
2 Tm 0.000 0.000 0.500
3 Ge 0.333 0.667 0.207
4 Ge 0.667 0.333 0.706
5 Au 0.333 0.667 0.793
6 Au 0.667 0.333 0.297

A relaxed structure of LiCdN, computed with PBE-GGA.

Computed properties:
Raw total energy in eV/atom: -3.48

a = 3.509 Å, b = 3.509 Å, c = 6.547 Å
α = 90.00°, β = 90.00°, γ = 120.00°
Element x y z (fractional)
1 Li 0.333 0.667 0.250
2 Li 0.667 0.333 0.750
3 Cd 0.000 0.000 0.000
4 Cd 0.000 0.000 0.500
5 N 0.333 0.667 0.750
6 N 0.667 0.333 0.250

A relaxed structure of Dy2In, computed with PBE-GGA.

Computed properties:
Raw total energy in eV/atom: -3.84

a = 6.273 Å, b = 6.273 Å, c = 6.273 Å
α = 60.00°, β = 60.00°, γ = 60.00°
Element x y z (fractional)
1 Dy 0.000 0.000 0.000
2 Dy 0.000 0.000 0.500
3 Dy 0.000 0.500 0.000
4 Dy 0.500 0.000 0.000
5 In 0.375 0.375 0.375
6 In 0.625 0.625 0.625

A relaxed structure of TmScTa, computed with PBE-GGA.

Computed properties:
Offset from the most stable computed form in eV per atom: 0.000
Energy of formation in eV/atom: 1.172

a = 4.814 Å, b = 4.814 Å, c = 4.814 Å
α = 60.00°, β = 60.00°, γ = 60.00°
Element x y z (fractional)
1 Tm 0.000 0.000 0.000
2 Sc 0.750 0.750 0.750
3 Ta 0.500 0.500 0.500

A relaxed structure of DyIn5Co, computed with PBE-GGA.

Computed properties:
Raw total energy in eV/atom: -3.87

a = 4.585 Å, b = 4.585 Å, c = 7.498 Å
α = 90.00°, β = 90.00°, γ = 90.00°
Element x y z (fractional)
1 Dy 0.000 0.000 0.000
2 In 0.000 0.500 0.306
3 In 0.000 0.500 0.694
4 In 0.500 0.000 0.306
5 In 0.500 0.000 0.694
6 In 0.500 0.500 0.000
7 Co 0.000 0.000 0.500

A relaxed structure of DyThNb, computed with PBE-GGA.

Computed properties:
Offset from the most stable computed form in eV per atom: 0.000
Energy of formation in eV/atom: 0.602

a = 4.976 Å, b = 4.976 Å, c = 4.976 Å
α = 60.00°, β = 60.00°, γ = 60.00°
Element x y z (fractional)
1 Dy 0.000 0.000 0.000
2 Th 0.500 0.500 0.500
3 Nb 0.250 0.250 0.250

Summary of V in Å³/cell
136.39, 90.64, 42.08, 127.90, 276.17, 49.73, 75.85, 281.65, 196.80, 291.44, 198.86, 89.64, 59.74, 142.13, 218.86, 276.30, 53.81, 70.97, 113.17, 101.74, 124.82, 69.80, 174.54, 78.86, 157.63, 87.14
(order as listed above)